{"formula": "PaTiRuW", "functional": "GGA-PBE", "state": "relaxed", "total_energy_ev_per_atom": -10.04, "space_group": "No. 216", "e_form_kcal_per_mol_atoms": -3.2, "vol_a3_per_cell": 287, "cell": [[6.5949, 0.0000, 0.0000], [0.0000, 6.5949, 0.0000], [0.0000, 0.0000, 6.5949]], "species": ["Pa", "Pa", "Pa", "Pa", "Ti", "Ti", "Ti", "Ti", "Ru", "Ru", "Ru", "Ru", "W", "W", "W", "W"], "fractional_positions": [[0.0000, 0.0000, 0.0000], [0.0000, 0.5000, 0.5000], [0.5000, 0.0000, 0.5000], [0.5000, 0.5000, 0.0000], [0.0000, 0.0000, 0.5000], [0.0000, 0.5000, 0.0000], [0.5000, 0.0000, 0.0000], [0.5000, 0.5000, 0.5000], [0.2500, 0.2500, 0.7500], [0.2500, 0.7500, 0.2500], [0.7500, 0.2500, 0.2500], [0.7500, 0.7500, 0.7500], [0.2500, 0.2500, 0.2500], [0.2500, 0.7500, 0.7500], [0.7500, 0.2500, 0.7500], [0.7500, 0.7500, 0.2500]]}



{"formula": "LiErTl2", "functional": "GGA-PBE", "state": "relaxed", "total_energy_ev_per_atom": -2.96, "space_group": "No. 160", "e_form_kcal_per_mol_atoms": -3.6, "vol_a3_per_cell": 309, "cell": [[3.5625, 0.0000, 0.0000], [-1.7812, 3.0852, 0.0000], [0.0000, 0.0000, 28.0892]], "species": ["Li", "Li", "Li", "Er", "Er", "Er", "Tl", "Tl", "Tl", "Tl", "Tl", "Tl"], "fractional_positions": [[0.0000, 0.0000, 0.0000], [0.3333, 0.6667, 0.6667], [0.6667, 0.3333, 0.3333], [0.0000, 0.0000, 0.1668], [0.3333, 0.6667, 0.8335], [0.6667, 0.3333, 0.5002], [0.0000, 0.0000, 0.5911], [0.0000, 0.0000, 0.7429], [0.3333, 0.6667, 0.2578], [0.3333, 0.6667, 0.4096], [0.6667, 0.3333, 0.0762], [0.6667, 0.3333, 0.9244]]}



{"formula": "CdIn", "functional": "GGA-PBE", "state": "relaxed", "total_energy_ev_per_atom": -1.75, "space_group": "No. 38", "e_form_kcal_per_mol_atoms": 1.7, "vol_a3_per_cell": 318, "cell": [[3.7266, 0.0000, 0.0000], [0.0000, 11.8777, 0.0000], [0.0000, 0.0000, 7.1821]], "species": ["Cd", "Cd", "Cd", "Cd", "Cd", "Cd", "In", "In", "In", "In", "In", "In"], "fractional_positions": [[0.0000, 0.0000, 0.0000], [0.0000, 0.1230, 0.3665], [0.0000, 0.3770, 0.8665], [0.0000, 0.5000, 0.5000], [0.0000, 0.6230, 0.8665], [0.0000, 0.8770, 0.3665], [0.5000, 0.0000, 0.6686], [0.5000, 0.2138, 0.0504], [0.5000, 0.2862, 0.5504], [0.5000, 0.5000, 0.1686], [0.5000, 0.7138, 0.5504], [0.5000, 0.7862, 0.0504]]}



{"formula": "SrCa2TbSe4", "functional": "GGA-PBE", "state": "relaxed", "total_energy_ev_per_atom": -4.97, "space_group": "No. 10", "raw_formation_energy_ev_per_atom": -1.9417, "vol_a3_per_cell": 214, "cell": [[7.3141, 0.0000, 0.0000], [0.0000, 4.2188, 0.0000], [-2.4344, 0.0000, 6.9433]], "species": ["Sr", "Ca", "Ca", "Tb", "Se", "Se", "Se", "Se"], "fractional_positions": [[0.0000, 0.0000, 0.0000], [0.5000, 0.0000, 0.5000], [0.5000, 0.5000, 0.0000], [0.0000, 0.5000, 0.5000], [0.2495, 0.0000, 0.7405], [0.2558, 0.5000, 0.2628], [0.7442, 0.5000, 0.7372], [0.7505, 0.0000, 0.2595]]}



> Number 2 is which compound?

LiErTl2